# TlVNiBr6 PBE optimized geometry
data_TlVNiBr6
_chemical_formula_sum 'Tl1 V1 Ni1 Br6'
_cell_length_a 6.662
_cell_length_b 6.662
_cell_length_c 7.378
_cell_angle_alpha 90.02
_cell_angle_beta 89.98
_cell_angle_gamma 60.00
_space_group_name_H-M_alt 'P 1'
_space_group_IT_number 1
loop_
_space_group_symop_operation_xyz
'x,y,z'
loop_
_atom_site_label
_atom_site_fract_x
_atom_site_fract_y
_atom_site_fract_z
Tl1 0.000 0.000 0.000
V1 0.333 0.333 0.500
Ni1 0.667 0.667 0.500
Br1 0.000 0.372 0.303
Br2 0.372 0.000 0.697
Br3 0.627 0.373 0.697
Br4 0.000 0.628 0.697
Br5 0.373 0.628 0.303
Br6 0.628 0.000 0.303
# Raw formation energy, kJ/mol of atoms: -63.4
# Calculated total energy, Ha/atom: -0.136

=====

# Tm3NiBr3 PBE optimized geometry
data_Tm3NiBr3
_chemical_formula_sum 'Tm6 Ni2 Br6'
_cell_length_a 3.926
_cell_length_b 8.484
_cell_length_c 11.449
_cell_angle_alpha 92.33
_cell_angle_beta 90.00
_cell_angle_gamma 90.00
_space_group_name_H-M_alt 'P 1'
_space_group_IT_number 1
loop_
_space_group_symop_operation_xyz
'x,y,z'
loop_
_atom_site_label
_atom_site_fract_x
_atom_site_fract_y
_atom_site_fract_z
Tm1 0.250 0.273 0.605
Tm2 0.750 0.727 0.395
Tm3 0.250 0.859 0.636
Tm4 0.750 0.141 0.364
Tm5 0.250 0.902 0.173
Tm6 0.750 0.098 0.827
Ni1 0.250 0.940 0.408
Ni2 0.750 0.060 0.592
Br1 0.250 0.422 0.368
Br2 0.750 0.578 0.632
Br3 0.250 0.861 0.900
Br4 0.750 0.139 0.100
Br5 0.250 0.347 0.859
Br6 0.750 0.653 0.141
# Raw formation energy, kJ/mol of atoms: -113.9
# Calculated total energy, Ha/atom: -0.171

=====

# Tm4NiBr5 PBE optimized geometry
data_Tm4NiBr5
_chemical_formula_sum 'Tm4 Ni1 Br5'
_cell_length_a 3.881
_cell_length_b 8.346
_cell_length_c 9.414
_cell_angle_alpha 78.14
_cell_angle_beta 101.90
_cell_angle_gamma 90.00
_space_group_name_H-M_alt 'P 1'
_space_group_IT_number 1
loop_
_space_group_symop_operation_xyz
'x,y,z'
loop_
_atom_site_label
_atom_site_fract_x
_atom_site_fract_y
_atom_site_fract_z
Tm1 0.356 0.073 0.713
Tm2 0.001 0.790 0.003
Tm3 0.644 0.927 0.287
Tm4 0.999 0.210 0.997
Ni1 0.500 0.000 0.000
Br1 0.820 0.841 0.640
Br2 0.832 0.332 0.664
Br3 0.168 0.668 0.336
Br4 0.500 0.500 0.000
Br5 0.180 0.159 0.360
# Raw formation energy, kJ/mol of atoms: -128.9
# Calculated total energy, Ha/atom: -0.167

=====

# Tm7NiBr12 PBE optimized geometry
data_Tm7NiBr12
_chemical_formula_sum 'Tm7 Ni1 Br12'
_cell_length_a 9.055
_cell_length_b 9.055
_cell_length_c 9.055
_cell_angle_alpha 107.36
_cell_angle_beta 107.36
_cell_angle_gamma 107.36
_space_group_name_H-M_alt 'P 1'
_space_group_IT_number 1
loop_
_space_group_symop_operation_xyz
'x,y,z'
loop_
_atom_site_label
_atom_site_fract_x
_atom_site_fract_y
_atom_site_fract_z
Tm1 0.970 0.693 0.896
Tm2 0.307 0.104 0.030
Tm3 0.104 0.030 0.307
Tm4 0.500 0.500 0.500
Tm5 0.896 0.970 0.693
Tm6 0.693 0.896 0.970
Tm7 0.030 0.307 0.104
Ni1 0.000 0.000 0.000
Br1 0.926 0.322 0.779
Br2 0.678 0.221 0.074
Br3 0.470 0.163 0.391
Br4 0.837 0.609 0.530
Br5 0.221 0.074 0.678
Br6 0.609 0.530 0.837
Br7 0.391 0.470 0.163
Br8 0.779 0.926 0.322
Br9 0.163 0.391 0.470
Br10 0.530 0.837 0.609
Br11 0.322 0.779 0.926
Br12 0.074 0.678 0.221
# Raw formation energy, kJ/mol of atoms: -147.7
# Calculated total energy, Ha/atom: -0.161

=====

# VNi2Br PBE optimized geometry
data_VNi2Br
_chemical_formula_sum 'V1 Ni2 Br1'
_cell_length_a 4.327
_cell_length_b 4.327
_cell_length_c 4.327
_cell_angle_alpha 60.00
_cell_angle_beta 60.00
_cell_angle_gamma 60.00
_space_group_name_H-M_alt 'P 1'
_space_group_IT_number 1
loop_
_space_group_symop_operation_xyz
'x,y,z'
loop_
_atom_site_label
_atom_site_fract_x
_atom_site_fract_y
_atom_site_fract_z
Ni1 0.250 0.250 0.250
Ni2 0.750 0.750 0.750
Br1 0.500 0.500 0.500
V1 0.000 0.000 0.000
# Raw formation energy, kJ/mol of atoms: 67.6
# Calculated total energy, Ha/atom: -0.180
# Energy above the most stable polymorph in this dataset, kJ/mol of atoms: 1.7

=====

# VNiBr3 PBE optimized geometry
data_VNiBr3
_chemical_formula_sum 'V1 Ni1 Br3'
_cell_length_a 5.123
_cell_length_b 5.123
_cell_length_c 5.123
_cell_angle_alpha 90.00
_cell_angle_beta 90.00
_cell_angle_gamma 90.00
_space_group_name_H-M_alt 'P 1'
_space_group_IT_number 1
loop_
_space_group_symop_operation_xyz
'x,y,z'
loop_
_atom_site_label
_atom_site_fract_x
_atom_site_fract_y
_atom_site_fract_z
Ni1 0.500 0.500 0.500
Br1 0.000 0.500 0.000
Br2 0.000 0.000 0.500
Br3 0.500 0.000 0.000
V1 0.000 0.000 0.000
# Raw formation energy, kJ/mol of atoms: 20.3
# Calculated total energy, Ha/atom: -0.139
# Energy above the most stable polymorph in this dataset, kJ/mol of atoms: 0.0